(1)
# ScSnAu2 (PBE, optimized geometry)
data_ScSnAu2
_chemical_formula_sum 'Sc2 Sn2 Au4'
_symmetry_space_group_name_H-M 'I m m m'
_symmetry_Int_Tables_number 71
_symmetry_space_group_name_Hall '-I 2 2'
_cell_length_a 3.0746
_cell_length_b 4.9816
_cell_length_c 11.4624
_cell_angle_alpha 90.00
_cell_angle_beta 90.00
_cell_angle_gamma 90.00
loop_
_atom_site_label
_atom_site_fract_x
_atom_site_fract_y
_atom_site_fract_z
Sc1 0.0000 0.0000 0.0000
Sn1 0.0000 0.0000 0.5000
Au1 0.0000 0.0000 0.2476
# - Spin magnetization: 0.00 μB per cell
# - V: 175.57 Å³/cell
# - E_form: -0.156 eV/atom
# - Electronic total energy: -17.51 eV per formula unit

=====

(2)
# ZrHgSbI2 (PBE, optimized geometry)
data_ZrHgSbI2
_chemical_formula_sum 'Zr1 Hg1 Sb1 I2'
_symmetry_space_group_name_H-M 'P 4/m m m'
_symmetry_Int_Tables_number 123
_symmetry_space_group_name_Hall '-P 4 2'
_cell_length_a 5.7689
_cell_length_b 5.7689
_cell_length_c 5.7064
_cell_angle_alpha 90.00
_cell_angle_beta 90.00
_cell_angle_gamma 90.00
loop_
_atom_site_label
_atom_site_fract_x
_atom_site_fract_y
_atom_site_fract_z
Zr1 0.0000 0.0000 0.0000
Hg1 0.5000 0.5000 0.5000
Sb1 0.0000 0.0000 0.5000
I1 0.0000 0.5000 0.0000
# - E_form (uncorrected): -0.179 eV/atom
# - Excess energy over the best structure of this formula in the dataset: 0.0 meV/atom
# - Spin magnetization: 0.00 μB per cell
# - V: 189.91 Å³/cell
# - Electronic total energy: -16.97 eV per formula unit

=====

(3)
# GeAs3W (PBE, optimized geometry)
data_GeAs3W
_chemical_formula_sum 'Ge1 As3 W1'
_symmetry_space_group_name_H-M 'P m -3 m'
_symmetry_Int_Tables_number 221
_symmetry_space_group_name_Hall '-P 4 2 3'
_cell_length_a 4.7505
_cell_length_b 4.7505
_cell_length_c 4.7505
_cell_angle_alpha 90.00
_cell_angle_beta 90.00
_cell_angle_gamma 90.00
loop_
_atom_site_label
_atom_site_fract_x
_atom_site_fract_y
_atom_site_fract_z
Ge1 0.0000 0.0000 0.0000
As1 0.0000 0.0000 0.5000
W1 0.5000 0.5000 0.5000
# - Excess energy over the best structure of this formula in the dataset: 924.5 meV/atom
# - Spin magnetization: 0.00 μB per cell
# - V: 107.21 Å³/cell
# - E_form: 1.597 eV/atom
# - Electronic total energy: -23.53 eV per formula unit

=====

(4)
# HoTiHg2 (PBE, optimized geometry)
data_HoTiHg2
_chemical_formula_sum 'Ho1 Ti1 Hg2'
_symmetry_space_group_name_H-M 'P 4/m m m'
_symmetry_Int_Tables_number 123
_symmetry_space_group_name_Hall '-P 4 2'
_cell_length_a 4.6133
_cell_length_b 4.6133
_cell_length_c 4.1737
_cell_angle_alpha 90.00
_cell_angle_beta 90.00
_cell_angle_gamma 90.00
loop_
_atom_site_label
_atom_site_fract_x
_atom_site_fract_y
_atom_site_fract_z
Ho1 0.0000 0.0000 0.0000
Ti1 0.5000 0.5000 0.0000
Hg1 0.0000 0.5000 0.5000
# - Excess energy over the best structure of this formula in the dataset: 16.3 meV/atom
# - Spin magnetization: 1.51 μB per cell
# - V: 88.83 Å³/cell
# - E_form: -0.171 eV/atom
# - Electronic total energy: -13.76 eV per formula unit